## 1
An optimized crystal structure of YTaSi2, computed with PBE.

The structure belongs to space group Imm2 (No. 44); the cell edges are 3.9527, 3.9619 and 9.3273 Å and the angles 90.00°, 90.00° and 90.00°. The inequivalent atoms are Y at (0.0000, 0.0000, 0.0000), Ta at (0.0000, 0.5000, 0.2495), Si at (0.0000, 0.0000, 0.4939) and Si at (0.0000, 0.5000, 0.7501).

The value obtained for the calculated volume is 146.1 Å³/cell.


## 2
An optimized crystal structure of YTaSi2, computed with PBE.

The structure belongs to space group Cmmm (No. 65); the cell edges are 3.9338, 4.7945 and 7.8016 Å and the angles 90.00°, 90.00° and 90.00°. The inequivalent atoms are Y at (0.0000, 0.0000, 0.0000), Ta at (0.0000, 0.0000, 0.5000) and Si at (0.0000, 0.5000, 0.2743).

The value obtained for the calculated volume is 147.1 Å³/cell.


## 3
An optimized crystal structure of YTaSi2, computed with PBE.

The structure belongs to space group P4/mmm (No. 123); the cell edges are 4.3150, 4.3150 and 3.9016 Å and the angles 90.00°, 90.00° and 90.00°. The inequivalent atoms are Y at (0.0000, 0.0000, 0.0000), Ta at (0.5000, 0.5000, 0.0000) and Si at (0.0000, 0.5000, 0.5000).

The value obtained for the calculated volume is 72.6 Å³/cell.


Which one sits at the bottom of the stability order? 3 does.


## 1
An optimized crystal structure of YTaSi3, computed with PBE.

The structure belongs to space group Pm-3m (No. 221); the cell edges are 4.8186, 4.8186 and 4.8186 Å and the angles 90.00°, 90.00° and 90.00°. The inequivalent atoms are Y at (0.0000, 0.0000, 0.0000), Ta at (0.5000, 0.5000, 0.5000) and Si at (0.0000, 0.5000, 0.5000).

The value obtained for the calculated volume is 111.9 Å³/cell.


## 2
An optimized crystal structure of YTaSi3, computed with PBE.

The structure belongs to space group Pm-3m (No. 221); the cell edges are 4.9584, 4.9584 and 4.9584 Å and the angles 90.00°, 90.00° and 90.00°. The inequivalent atoms are Y at (0.0000, 0.0000, 0.0000), Ta at (0.5000, 0.5000, 0.5000) and Si at (0.0000, 0.0000, 0.5000).

The value obtained for the calculated volume is 121.9 Å³/cell.


Which one sits at the bottom of the stability order? 2 does.


## 1
An optimized crystal structure of TaZnSi3, computed with PBE.

The structure belongs to space group Pm-3m (No. 221); the cell edges are 4.5164, 4.5164 and 4.5164 Å and the angles 90.00°, 90.00° and 90.00°. The inequivalent atoms are Ta at (0.0000, 0.0000, 0.0000), Zn at (0.5000, 0.5000, 0.5000) and Si at (0.0000, 0.5000, 0.5000).

The value obtained for the calculated volume is 92.1 Å³/cell.


## 2
An optimized crystal structure of TaZnSi3, computed with PBE.

The structure belongs to space group Pm-3m (No. 221); the cell edges are 4.9227, 4.9227 and 4.9227 Å and the angles 90.00°, 90.00° and 90.00°. The inequivalent atoms are Ta at (0.0000, 0.0000, 0.0000), Zn at (0.5000, 0.5000, 0.5000) and Si at (0.0000, 0.0000, 0.5000).

The value obtained for the calculated volume is 119.3 Å³/cell.


Which one sits at the bottom of the stability order? 1 does.


## 1
An optimized crystal structure of ZrTa3Si, computed with PBE.

The structure belongs to space group Pm-3m (No. 221); the cell edges are 4.8837, 4.8837 and 4.8837 Å and the angles 90.00°, 90.00° and 90.00°. The inequivalent atoms are Zr at (0.0000, 0.0000, 0.0000), Ta at (0.0000, 0.0000, 0.5000) and Si at (0.5000, 0.5000, 0.5000).

The value obtained for the calculated volume is 116.5 Å³/cell.


## 2
An optimized crystal structure of ZrTa3Si, computed with PBE.

The structure belongs to space group Pm-3m (No. 221); the cell edges are 4.6979, 4.6979 and 4.6979 Å and the angles 90.00°, 90.00° and 90.00°. The inequivalent atoms are Zr at (0.0000, 0.0000, 0.0000), Ta at (0.0000, 0.5000, 0.5000) and Si at (0.5000, 0.5000, 0.5000).

The value obtained for the calculated volume is 103.7 Å³/cell.


Which one sits at the bottom of the stability order? 1 does.


## 1
An optimized crystal structure of TbSi3Tc3, computed with PBE.

The structure belongs to space group P2_1/m (No. 11); the cell edges are 7.3681, 4.2325 and 7.6720 Å and the angles 90.00°, 100.39° and 90.00°. The inequivalent atoms are Tb at (0.1625, 0.2500, 0.3807), Si at (0.1022, 0.2500, 0.7968), Si at (0.2040, 0.7500, 0.0987), Si at (0.4317, 0.7500, 0.5597), Tc at (0.2582, 0.7500, 0.7910), Tc at (0.3901, 0.2500, 0.0476) and Tc at (0.4888, 0.2500, 0.7283).

The value obtained for the calculated volume is 235.3 Å³/cell.


## 2
An optimized crystal structure of TbSi3Tc3, computed with PBE.

The structure belongs to space group Pm-3n (No. 223); the cell edges are 6.5627, 6.5627 and 6.5627 Å and the angles 90.00°, 90.00° and 90.00°. The inequivalent atoms are Tb at (0.0000, 0.0000, 0.0000), Si at (0.0000, 0.2500, 0.5000) and Tc at (0.0000, 0.5000, 0.2500).

The value obtained for the calculated volume is 282.7 Å³/cell.


Which one sits at the bottom of the stability order? 2 does.


## 1
An optimized crystal structure of TbSi2Tc2, computed with PBE.

The structure belongs to space group C2/c (No. 15); the cell edges are 5.4708, 10.0242 and 7.2372 Å and the angles 90.00°, 112.18° and 90.00°. The inequivalent atoms are Tb at (0.0000, 0.1248, 0.2500), Si at (0.0000, 0.1844, 0.7500), Si at (0.0000, 0.4343, 0.2500) and Tc at (0.1131, 0.3749, 0.9759).

The value obtained for the calculated volume is 367.5 Å³/cell.


## 2
An optimized crystal structure of TbSi2Tc2, computed with PBE.

The structure belongs to space group I4/mmm (No. 139); the cell edges are 4.1340, 4.1340 and 10.1273 Å and the angles 90.00°, 90.00° and 90.00°. The inequivalent atoms are Tb at (0.0000, 0.0000, 0.0000), Si at (0.0000, 0.0000, 0.3769) and Tc at (0.0000, 0.5000, 0.2500).

The value obtained for the calculated volume is 173.1 Å³/cell.


Which one sits at the bottom of the stability order? 1 does.